Density functional theory data (GGA-PBE) for an optimized crystal structure of Np2U.

Geometry as CIF:
```
data_Np2U
_chemical_formula_sum 'Np4 U2'
_cell_length_a 8.0616
_cell_length_b 8.0616
_cell_length_c 8.0616
_cell_angle_alpha 60.00
_cell_angle_beta 60.00
_cell_angle_gamma 60.00
_symmetry_space_group_name_H-M 'P 1'
_symmetry_Int_Tables_number 1
_symmetry_space_group_name_Hall 'P 1'
loop_
_atom_site_label
_atom_site_fract_x
_atom_site_fract_y
_atom_site_fract_z
Np1 0.3750 0.3750 0.3750
Np2 0.3750 0.3750 0.8750
Np3 0.8750 0.3750 0.3750
Np4 0.3750 0.8750 0.3750
U1 0.2500 0.2500 0.2500
U2 0.5000 0.5000 0.5000
```

Results
Space-group type: Fd-3m, No. 227
Crystal system: cubic
DFT total energy (eV per formula unit): -30.3
ΔH_f (0 K) (eV per atom): 2.1827